VASP calculation (PBE) on a geometry-optimized AcSm3Tl structure.

a = 5.178 Å, b = 4.890 Å, c = 13.542 Å
α = 90.00°, β = 78.98°, γ = 90.00°
Fractional positions:
Sm  0.368  0.250  0.912
Sm  0.280  0.750  0.088
Sm  0.876  0.750  0.897
Sm  0.070  0.750  0.509
Sm  0.579  0.250  0.491
Sm  0.773  0.250  0.103
Tl  0.669  0.750  0.311
Tl  0.980  0.250  0.689
Ac  0.176  0.250  0.296
Ac  0.472  0.750  0.704

Computed properties:
**Energy of formation from the pure elements**: -93 meV/atom
**ΔE to the lowest computed polymorph**: 0 meV per atom
**Density of states at the Fermi level**: 14.448 states/eV/cell


VASP calculation (PBE) on a geometry-optimized Ac3SmTl3 structure.

a = 7.279 Å, b = 7.279 Å, c = 10.152 Å
α = 91.87°, β = 91.87°, γ = 105.75°
Fractional positions:
Ac  0.596  0.596  0.316
Ac  0.178  0.822  0.500
Ac  0.822  0.178  0.500
Ac  0.247  0.753  0.000
Ac  0.753  0.247  0.000
Ac  0.404  0.404  0.684
Tl  0.067  0.466  0.265
Tl  0.933  0.534  0.735
Tl  0.466  0.067  0.265
Tl  0.029  0.029  0.774
Tl  0.971  0.971  0.226
Tl  0.534  0.933  0.735
Sm  0.262  0.262  0.047
Sm  0.738  0.738  0.953

Computed properties:
**Energy of formation from the pure elements**: -211 meV/atom
**Density of states at the Fermi level**: 15.205 states/eV/cell


VASP calculation (PBE) on a geometry-optimized Ac3Sm3Tl2 structure.

a = 5.177 Å, b = 6.965 Å, c = 17.684 Å
α = 90.00°, β = 90.00°, γ = 111.81°
Fractional positions:
Tl  0.227  0.454  0.386
Tl  0.773  0.546  0.886
Tl  0.773  0.546  0.614
Tl  0.227  0.454  0.114
Sm  0.635  0.271  0.036
Sm  0.618  0.237  0.750
Sm  0.382  0.763  0.250
Sm  0.635  0.271  0.464
Sm  0.365  0.729  0.964
Sm  0.365  0.729  0.536
Ac  0.335  0.671  0.750
Ac  0.054  0.108  0.890
Ac  0.054  0.108  0.610
Ac  0.946  0.892  0.390
Ac  0.946  0.892  0.110
Ac  0.665  0.329  0.250

Computed properties:
**Energy of formation from the pure elements**: -113 meV/atom
**Density of states at the Fermi level**: 25.126 states/eV/cell


VASP calculation (PBE) on a geometry-optimized Ac3Sm2Tl3 structure.

a = 4.043 Å, b = 5.795 Å, c = 12.508 Å
α = 103.39°, β = 99.30°, γ = 90.00°
Fractional positions:
Ac  0.625  0.625  0.250
Ac  0.500  0.000  0.000
Ac  0.375  0.375  0.750
Tl  0.126  0.126  0.252
Tl  0.000  0.500  0.000
Tl  0.874  0.874  0.748
Sm  0.266  0.766  0.531
Sm  0.734  0.234  0.469

Computed properties:
**Energy of formation from the pure elements**: -257 meV/atom
**Density of states at the Fermi level**: 9.879 states/eV/cell


VASP calculation (PBE) on a geometry-optimized Ac3SmTl2 structure.

a = 7.894 Å, b = 8.163 Å, c = 9.773 Å
α = 114.69°, β = 113.82°, γ = 90.00°
Fractional positions:
Ac  0.221  0.471  0.442
Ac  0.500  0.250  0.000
Ac  0.779  0.529  0.558
Ac  0.779  0.029  0.558
Ac  0.221  0.971  0.442
Ac  0.500  0.750  0.000
Sm  0.000  0.000  0.000
Sm  0.000  0.500  0.000
Tl  0.427  0.634  0.268
Tl  0.841  0.134  0.268
Tl  0.159  0.866  0.732
Tl  0.573  0.366  0.732

Computed properties:
**Energy of formation from the pure elements**: -9 meV/atom
**ΔE to the lowest computed polymorph**: 209 meV per atom
**Density of states at the Fermi level**: 16.643 states/eV/cell


VASP calculation (PBE) on a geometry-optimized Ac5SmTl3 structure.

a = 7.384 Å, b = 10.169 Å, c = 10.166 Å
α = 120.01°, β = 90.00°, γ = 90.00°
Fractional positions:
Tl  0.250  0.339  0.000
Tl  0.750  0.339  0.339
Tl  0.750  0.000  0.661
Tl  0.750  0.661  0.000
Tl  0.250  0.000  0.339
Tl  0.250  0.661  0.661
Ac  0.250  0.000  0.677
Ac  0.750  0.677  0.677
Ac  0.500  0.667  0.333
Ac  0.500  0.333  0.667
Ac  0.250  0.323  0.323
Ac  0.250  0.677  0.000
Ac  0.000  0.333  0.667
Ac  0.750  0.000  0.323
Ac  0.000  0.667  0.333
Ac  0.750  0.323  0.000
Sm  0.500  0.000  0.000
Sm  0.000  0.000  0.000

Computed properties:
**Energy of formation from the pure elements**: -195 meV/atom
**Density of states at the Fermi level**: 21.188 states/eV/cell


VASP calculation (PBE) on a geometry-optimized AcSm4Tl4 structure.

a = 6.090 Å, b = 9.739 Å, c = 9.739 Å
α = 90.00°, β = 90.00°, γ = 90.00°
Fractional positions:
Ac  0.500  0.500  0.500
Ac  0.000  0.000  0.000
Tl  0.903  0.612  0.281
Tl  0.403  0.219  0.112
Tl  0.403  0.781  0.888
Tl  0.597  0.112  0.781
Tl  0.903  0.388  0.719
Tl  0.597  0.888  0.219
Tl  0.097  0.719  0.612
Tl  0.097  0.281  0.388
Sm  0.111  0.918  0.346
Sm  0.389  0.582  0.154
Sm  0.889  0.654  0.918
Sm  0.111  0.082  0.654
Sm  0.389  0.418  0.846
Sm  0.889  0.346  0.082
Sm  0.611  0.154  0.418
Sm  0.611  0.846  0.582

Computed properties:
**Energy of formation from the pure elements**: -168 meV/atom
**Density of states at the Fermi level**: 16.243 states/eV/cell


VASP calculation (PBE) on a geometry-optimized Ac3Sm12Tl structure.

a = 5.155 Å, b = 5.155 Å, c = 20.897 Å
α = 90.00°, β = 90.00°, γ = 90.00°
Fractional positions:
Sm  0.500  0.000  0.884
Sm  0.500  0.500  0.000
Sm  0.500  0.000  0.628
Sm  0.000  0.500  0.628
Sm  0.500  0.500  0.500
Sm  0.500  0.500  0.241
Sm  0.500  0.000  0.116
Sm  0.000  0.500  0.116
Sm  0.500  0.500  0.759
Sm  0.500  0.000  0.372
Sm  0.000  0.500  0.372
Sm  0.000  0.500  0.884
Ac  0.000  0.000  0.245
Ac  0.000  0.000  0.755
Ac  0.000  0.000  0.500
Tl  0.000  0.000  0.000

Computed properties:
**Energy of formation from the pure elements**: -4 meV/atom
**Density of states at the Fermi level**: 23.364 states/eV/cell


VASP calculation (PBE) on a geometry-optimized Ac14SmTl structure.

a = 7.832 Å, b = 7.832 Å, c = 11.122 Å
α = 90.00°, β = 90.00°, γ = 89.99°
Fractional positions:
Ac  0.876  0.124  0.500
Ac  0.624  0.376  0.244
Ac  0.876  0.626  0.500
Ac  0.126  0.376  0.757
Ac  0.126  0.874  0.241
Ac  0.624  0.874  0.757
Ac  0.374  0.124  0.500
Ac  0.126  0.874  0.759
Ac  0.872  0.624  0.000
Ac  0.375  0.625  0.500
Ac  0.624  0.874  0.243
Ac  0.376  0.128  0.000
Ac  0.126  0.376  0.243
Ac  0.624  0.376  0.756
Tl  0.375  0.625  0.000
Sm  0.875  0.125  0.000

Computed properties:
**Energy of formation from the pure elements**: -13 meV/atom
**Density of states at the Fermi level**: 21.859 states/eV/cell


VASP calculation (PBE) on a geometry-optimized AcSm2Tl structure.

a = 5.690 Å, b = 5.690 Å, c = 5.690 Å
α = 60.00°, β = 60.00°, γ = 60.00°
Fractional positions:
Tl  0.500  0.500  0.500
Ac  0.000  0.000  0.000
Sm  0.250  0.250  0.250
Sm  0.750  0.750  0.750

Computed properties:
**Energy of formation from the pure elements**: 5 meV/atom
**ΔE to the lowest computed polymorph**: 175 meV per atom
**Density of states at the Fermi level**: 7.571 states/eV/cell


VASP calculation (PBE) on a geometry-optimized AcSm3Tl4 structure.

a = 5.586 Å, b = 7.817 Å, c = 11.176 Å
α = 90.00°, β = 90.00°, γ = 90.00°
Fractional positions:
Sm  0.000  0.000  0.000
Sm  0.499  0.000  0.250
Sm  0.499  0.500  0.250
Sm  0.501  0.500  0.750
Sm  0.501  0.000  0.750
Sm  0.000  0.000  0.500
Tl  0.999  0.237  0.250
Tl  0.001  0.763  0.750
Tl  0.500  0.237  0.500
Tl  0.500  0.763  0.000
Tl  0.999  0.763  0.250
Tl  0.500  0.763  0.500
Tl  0.500  0.237  0.000
Tl  0.001  0.237  0.750
Ac  0.000  0.500  0.500
Ac  0.000  0.500  0.000

Computed properties:
**Energy of formation from the pure elements**: -354 meV/atom
**Density of states at the Fermi level**: 13.149 states/eV/cell


VASP calculation (PBE) on a geometry-optimized Ac2Sm2Tl structure.

a = 8.748 Å, b = 6.823 Å, c = 9.479 Å
α = 70.67°, β = 58.91°, γ = 50.13°
Fractional positions:
Tl  0.150  0.699  0.000
Tl  0.850  0.301  0.000
Sm  0.397  0.000  0.879
Sm  0.603  0.000  0.121
Sm  0.728  0.000  0.420
Sm  0.272  0.000  0.580
Ac  0.340  0.625  0.278
Ac  0.660  0.375  0.722
Ac  0.035  0.625  0.722
Ac  0.965  0.375  0.278

Computed properties:
**Energy of formation from the pure elements**: -18 meV/atom
**Density of states at the Fermi level**: 11.032 states/eV/cell


VASP calculation (PBE) on a geometry-optimized AcSm4Tl7 structure.

a = 5.990 Å, b = 10.197 Å, c = 7.326 Å
α = 83.96°, β = 65.87°, γ = 72.92°
Fractional positions:
Ac  0.000  0.000  0.000
Tl  0.637  0.454  0.272
Tl  0.075  0.671  0.180
Tl  0.217  0.105  0.461
Tl  0.500  0.000  0.000
Tl  0.783  0.895  0.539
Tl  0.925  0.329  0.820
Tl  0.363  0.546  0.728
Sm  0.588  0.219  0.605
Sm  0.272  0.335  0.122
Sm  0.412  0.781  0.395
Sm  0.728  0.665  0.878

Computed properties:
**Energy of formation from the pure elements**: -135 meV/atom
**Density of states at the Fermi level**: 10.238 states/eV/cell


VASP calculation (PBE) on a geometry-optimized AcSm2Tl structure.

a = 3.770 Å, b = 3.770 Å, c = 9.430 Å
α = 90.00°, β = 90.00°, γ = 90.00°
Fractional positions:
Sm  0.000  0.000  0.218
Sm  0.000  0.000  0.782
Ac  0.500  0.500  0.500
Tl  0.500  0.500  0.000

Computed properties:
**Energy of formation from the pure elements**: -170 meV/atom
**ΔE to the lowest computed polymorph**: 0 meV per atom
**Density of states at the Fermi level**: 4.091 states/eV/cell


VASP calculation (PBE) on a geometry-optimized Ac5SmTl8 structure.

a = 8.604 Å, b = 8.604 Å, c = 8.604 Å
α = 108.79°, β = 110.84°, γ = 108.79°
Fractional positions:
Tl  0.124  0.718  0.025
Tl  0.307  0.282  0.406
Tl  0.594  0.901  0.876
Tl  0.458  0.589  0.192
Tl  0.602  0.411  0.869
Tl  0.808  0.266  0.398
Tl  0.975  0.099  0.693
Tl  0.131  0.734  0.542
Sm  0.250  0.500  0.750
Ac  0.757  0.649  0.634
Ac  0.985  0.351  0.109
Ac  0.500  0.000  0.500
Ac  0.366  0.123  0.015
Ac  0.891  0.877  0.243

Computed properties:
**Energy of formation from the pure elements**: -298 meV/atom
**Density of states at the Fermi level**: 10.994 states/eV/cell


VASP calculation (PBE) on a geometry-optimized AcSm6Tl3 structure.

a = 8.803 Å, b = 8.764 Å, c = 8.764 Å
α = 94.56°, β = 90.00°, γ = 90.00°
Fractional positions:
Sm  0.159  0.387  0.260
Sm  0.205  0.023  0.977
Sm  0.159  0.740  0.613
Sm  0.579  0.240  0.760
Sm  0.802  0.930  0.570
Sm  0.659  0.613  0.740
Sm  0.302  0.070  0.430
Sm  0.659  0.260  0.387
Sm  0.079  0.760  0.240
Sm  0.705  0.977  0.023
Sm  0.802  0.430  0.070
Sm  0.302  0.570  0.930
Ac  0.501  0.690  0.310
Ac  0.001  0.310  0.690
Tl  0.859  0.567  0.433
Tl  0.359  0.433  0.567
Tl  0.459  0.276  0.099
Tl  0.459  0.901  0.724
Tl  0.959  0.099  0.276
Tl  0.959  0.724  0.901

Computed properties:
**Energy of formation from the pure elements**: -159 meV/atom
**Density of states at the Fermi level**: 22.914 states/eV/cell


VASP calculation (PBE) on a geometry-optimized Ac3SmTl4 structure.

a = 4.003 Å, b = 7.561 Å, c = 10.620 Å
α = 110.85°, β = 100.86°, γ = 90.00°
Each line ends with the local moment (μB).
Fractional positions:
Ac  0.216  0.216  0.431  0.00
Ac  0.784  0.784  0.569  0.00
Ac  0.000  0.500  0.000  0.01
Tl  0.376  0.590  0.752  0.00
Tl  0.624  0.838  0.248  0.00
Tl  0.376  0.162  0.752  0.00
Tl  0.624  0.410  0.248  0.00
Sm  0.500  0.000  0.000  0.14

Computed properties:
**Energy of formation from the pure elements**: -234 meV/atom
**ΔE to the lowest computed polymorph**: 120 meV per atom
**Density of states at the Fermi level**: 7.880 states/eV/cell


VASP calculation (PBE) on a geometry-optimized Ac2SmTl2 structure.

a = 5.001 Å, b = 6.671 Å, c = 6.671 Å
α = 65.85°, β = 67.99°, γ = 67.99°
Fractional positions:
Ac  0.197  0.303  0.303
Ac  0.803  0.697  0.697
Sm  0.000  0.000  0.000
Tl  0.500  0.277  0.723
Tl  0.500  0.723  0.277

Computed properties:
**Energy of formation from the pure elements**: -285 meV/atom
**Density of states at the Fermi level**: 5.719 states/eV/cell


VASP calculation (PBE) on a geometry-optimized Ac5SmTl6 structure.

a = 5.803 Å, b = 9.996 Å, c = 10.025 Å
α = 60.09°, β = 73.22°, γ = 54.63°
Fractional positions:
Ac  0.500  0.174  0.651
Ac  0.000  0.663  0.675
Ac  0.000  0.337  0.325
Ac  0.500  0.826  0.349
Ac  0.500  0.500  0.000
Tl  0.763  0.078  0.321
Tl  0.237  0.601  0.321
Tl  0.237  0.922  0.679
Tl  0.273  0.229  0.000
Tl  0.763  0.399  0.679
Tl  0.727  0.771  0.000
Sm  0.000  0.000  0.000

Computed properties:
**Energy of formation from the pure elements**: -348 meV/atom
**Density of states at the Fermi level**: 14.416 states/eV/cell


VASP calculation (PBE) on a geometry-optimized Ac4SmTl2 structure.

a = 8.293 Å, b = 10.530 Å, c = 10.264 Å
α = 141.68°, β = 94.12°, γ = 94.72°
Fractional positions:
Tl  0.780  0.919  0.213
Tl  0.478  0.080  0.483
Tl  0.209  0.325  0.787
Tl  0.570  0.555  0.494
Ac  0.374  0.756  0.932
Ac  0.377  0.935  0.688
Ac  0.757  0.135  0.087
Ac  0.814  0.461  0.698
Ac  0.081  0.738  0.247
Ac  0.836  0.079  0.688
Ac  0.601  0.523  0.100
Ac  0.180  0.215  0.368
Sm  0.978  0.682  0.575
Sm  0.217  0.346  0.140

Computed properties:
**Energy of formation from the pure elements**: -120 meV/atom
**Density of states at the Fermi level**: 14.838 states/eV/cell